Entry from the Alexandria database: crystalline MgBr6 at its relaxed geometry (PBE-GGA).

CIF file:
```
data_MgBr6
_cell_length_a 9.638
_cell_length_b 15.953
_cell_length_c 8.650
_cell_angle_alpha 90.00
_cell_angle_beta 90.00
_cell_angle_gamma 90.00
_space_group_name_H-M_alt 'C m m m'
_space_group_IT_number 65
_space_group_name_Hall '-C 2 2'
loop_
_atom_site_label
_atom_site_type_symbol
_atom_site_fract_x
_atom_site_fract_y
_atom_site_fract_z
_atom_site_occupancy
Mg1 Mg 0.000 0.000 0.000 1
Br1 Br 0.000 0.000 0.271 1
Br2 Br 0.125 0.205 0.000 1
```

Output
* calculated total energy: -2.0055 eV/atom
* ΔE_f (raw): -0.34 eV per atom

---

Entry from the Alexandria database: crystalline MgBr5 at its relaxed geometry (PBE-GGA).

CIF file:
```
data_MgBr5
_cell_length_a 3.491
_cell_length_b 3.491
_cell_length_c 14.869
_cell_angle_alpha 90.00
_cell_angle_beta 90.00
_cell_angle_gamma 90.00
_space_group_name_H-M_alt 'P 4/m m m'
_space_group_IT_number 123
_space_group_name_Hall '-P 4 2'
loop_
_atom_site_label
_atom_site_type_symbol
_atom_site_fract_x
_atom_site_fract_y
_atom_site_fract_z
_atom_site_occupancy
Mg1 Mg 0.000 0.000 0.000 1
Br1 Br 0.000 0.000 0.371 1
Br2 Br 0.500 0.500 0.110 1
Br3 Br 0.500 0.500 0.500 1
```

Output
* relative energy among the computed polymorphs: 0.358 eV/atom
* calculated total energy: -1.8331 eV/atom
* ΔE_f (raw): -0.17 eV per atom

---

Entry from the Alexandria database: crystalline Mg3Br5 at its relaxed geometry (PBE-GGA).

CIF file:
```
data_Mg3Br5
_cell_length_a 7.8616
_cell_length_b 7.8616
_cell_length_c 8.1795
_cell_angle_alpha 90.00
_cell_angle_beta 90.00
_cell_angle_gamma 120.00
_space_group_name_H-M_alt 'P 63/m c m'
_space_group_IT_number 193
_space_group_name_Hall '-P 6c 2'
loop_
_atom_site_label
_atom_site_type_symbol
_atom_site_fract_x
_atom_site_fract_y
_atom_site_fract_z
_atom_site_occupancy
Mg1 Mg 0.0000 0.4053 0.2500 1
Br1 Br 0.0000 0.2577 0.7500 1
Br2 Br 0.3333 0.6667 0.0000 1
```

Output
* relative energy among the computed polymorphs: 0.000 eV/atom
* calculated total energy: -2.6541 eV/atom
* ΔE_f (raw): -1.01 eV per atom

---

Entry from the Alexandria database: crystalline Mg3Br2 at its relaxed geometry (PBE-GGA).

CIF file:
```
data_Mg3Br2
_cell_length_a 3.6624
_cell_length_b 3.6624
_cell_length_c 37.8185
_cell_angle_alpha 90.00
_cell_angle_beta 90.00
_cell_angle_gamma 120.00
_space_group_name_H-M_alt 'R -3 m'
_space_group_IT_number 166
_space_group_name_Hall '-R 3 2"'
loop_
_atom_site_label
_atom_site_type_symbol
_atom_site_fract_x
_atom_site_fract_y
_atom_site_fract_z
_atom_site_occupancy
Mg1 Mg 0.0000 0.0000 0.0000 1
Mg2 Mg 0.0000 0.0000 0.1986 1
Br1 Br 0.0000 0.0000 0.4242 1
```

Output
* relative energy among the computed polymorphs: 0.027 eV/atom
* calculated total energy: -2.2397 eV/atom
* ΔE_f (raw): -0.61 eV per atom

---

Entry from the Alexandria database: crystalline MgBr3 at its relaxed geometry (PBE-GGA).

CIF file:
```
data_MgBr3
_cell_length_a 3.7736
_cell_length_b 3.7736
_cell_length_c 38.2506
_cell_angle_alpha 90.00
_cell_angle_beta 90.00
_cell_angle_gamma 120.00
_space_group_name_H-M_alt 'R -3 m'
_space_group_IT_number 166
_space_group_name_Hall '-R 3 2"'
loop_
_atom_site_label
_atom_site_type_symbol
_atom_site_fract_x
_atom_site_fract_y
_atom_site_fract_z
_atom_site_occupancy
Mg1 Mg 0.0000 0.0000 0.0000 1
Br1 Br 0.0000 0.0000 0.3738 1
Br2 Br 0.0000 0.0000 0.5000 1
```

Output
* calculated total energy: -2.5297 eV/atom
* ΔE_f (raw): -0.88 eV per atom

---

Entry from the Alexandria database: crystalline Mg5Br at its relaxed geometry (PBE-GGA).

CIF file:
```
data_Mg5Br
_cell_length_a 8.515
_cell_length_b 8.515
_cell_length_c 8.515
_cell_angle_alpha 90.00
_cell_angle_beta 90.00
_cell_angle_gamma 90.00
_space_group_name_H-M_alt 'F -4 3 m'
_space_group_IT_number 216
_space_group_name_Hall 'F -4 2 3'
loop_
_atom_site_label
_atom_site_type_symbol
_atom_site_fract_x
_atom_site_fract_y
_atom_site_fract_z
_atom_site_occupancy
Mg1 Mg 0.000 0.000 0.000 1
Mg2 Mg 0.127 0.127 0.627 1
Br1 Br 0.250 0.250 0.250 1
```

Output
* relative energy among the computed polymorphs: 0.161 eV/atom
* calculated total energy: -1.5850 eV/atom
* ΔE_f (raw): 0.02 eV per atom

---

Entry from the Alexandria database: crystalline MgBr5 at its relaxed geometry (PBE-GGA).

CIF file:
```
data_MgBr5
_cell_length_a 3.735
_cell_length_b 13.316
_cell_length_c 8.784
_cell_angle_alpha 90.00
_cell_angle_beta 90.00
_cell_angle_gamma 90.00
_space_group_name_H-M_alt 'C m m m'
_space_group_IT_number 65
_space_group_name_Hall '-C 2 2'
loop_
_atom_site_label
_atom_site_type_symbol
_atom_site_fract_x
_atom_site_fract_y
_atom_site_fract_z
_atom_site_occupancy
Mg1 Mg 0.000 0.000 0.000 1
Br1 Br 0.000 0.168 0.500 1
Br2 Br 0.000 0.368 0.000 1
Br3 Br 0.000 0.500 0.500 1
```

Output
* relative energy among the computed polymorphs: 0.020 eV/atom
* calculated total energy: -2.1710 eV/atom
* ΔE_f (raw): -0.51 eV per atom

---

Entry from the Alexandria database: crystalline MgMnBr3 at its relaxed geometry (PBE-GGA).

CIF file:
```
data_MgMnBr3
_cell_length_a 5.284
_cell_length_b 5.284
_cell_length_c 5.284
_cell_angle_alpha 90.00
_cell_angle_beta 90.00
_cell_angle_gamma 90.00
_space_group_name_H-M_alt 'P m -3 m'
_space_group_IT_number 221
_space_group_name_Hall '-P 4 2 3'
loop_
_atom_site_label
_atom_site_type_symbol
_atom_site_fract_x
_atom_site_fract_y
_atom_site_fract_z
_atom_site_occupancy
Mg1 Mg 0.000 0.000 0.000 1
Mn1 Mn 0.500 0.500 0.500 1
Br1 Br 0.000 0.000 0.500 1
```

Output
* relative energy among the computed polymorphs: 0.000 eV/atom
* calculated total energy: -3.6572 eV/atom
* ΔE_f (raw): -0.50 eV per atom